1.
The following is a GGA-PBE calculation of an optimized crystal structure of CdTe2Pb, from the Alexandria database.

Cell: 4.073 5.029 5.784 Å, 90.00 90.00 90.00°
Space group Pmmm (No. 47)
Symmetry-distinct sites (fractional):
1 Cd 0.000 0.000 0.000 (multiplicity 1)
2 Te 0.000 0.500 0.500 (multiplicity 1)
3 Te 0.500 0.000 0.500 (multiplicity 1)
4 Pb 0.500 0.500 0.000 (multiplicity 1)

- formation energy (no corrections) (eV per atom) = 0.065



2.
The following is a GGA-PBE calculation of an optimized crystal structure of CaScBi2, from the Alexandria database.

Cell: 6.202 6.202 16.817 Å, 90.00 90.00 90.00°
Space group I-42d (No. 122)
Symmetry-distinct sites (fractional):
1 Ca 0.000 0.000 0.000 (multiplicity 4)
2 Sc 0.000 0.000 0.500 (multiplicity 4)
3 Bi 0.196 0.250 0.625 (multiplicity 8)

- ΔE_f (meV per atom) = -228



3.
The following is a GGA-PBE calculation of an optimized crystal structure of Sm2Ga4Cu3Sn, from the Alexandria database.

Cell: 4.199 4.199 10.718 Å, 90.00 90.00 90.00°
Space group P-4m2 (No. 115)
Symmetry-distinct sites (fractional):
1 Sm 0.000 0.500 0.236 (multiplicity 2)
2 Ga 0.000 0.000 0.000 (multiplicity 1)
3 Ga 0.000 0.500 0.658 (multiplicity 2)
4 Ga 0.500 0.500 0.000 (multiplicity 1)
5 Cu 0.000 0.500 0.877 (multiplicity 2)
6 Cu 0.500 0.500 0.500 (multiplicity 1)
7 Sn 0.000 0.000 0.500 (multiplicity 1)

- ΔE_f (meV per atom) = -445



4.
The following is a GGA-PBE calculation of an optimized crystal structure of KHg2Os, from the Alexandria database.

Cell: 7.089 7.089 7.089 Å, 90.00 90.00 90.00°
Space group Fm-3m (No. 225)
Symmetry-distinct sites (fractional):
1 K 0.000 0.000 0.000 (multiplicity 4)
2 Hg 0.250 0.250 0.250 (multiplicity 8)
3 Os 0.000 0.000 0.500 (multiplicity 4)

- ΔE_f (meV per atom) = 946



5.
The following is a GGA-PBE calculation of an optimized crystal structure of CrNi2N, from the Alexandria database.

Cell: 6.511 6.511 3.937 Å, 90.00 90.00 90.00°
Space group I-42d (No. 122)
Symmetry-distinct sites (fractional):
1 Cr 0.000 0.000 0.000 (multiplicity 4)
2 Ni 0.140 0.250 0.625 (multiplicity 8)
3 N 0.000 0.000 0.500 (multiplicity 4)

- formation energy (no corrections) (eV per atom) = 0.280



6.
The following is a GGA-PBE calculation of an optimized crystal structure of Pm2AgAu, from the Alexandria database.

Cell: 7.415 7.415 7.415 Å, 90.00 90.00 90.00°
Space group Fm-3m (No. 225)
Symmetry-distinct sites (fractional):
1 Pm 0.250 0.250 0.250 (multiplicity 8)
2 Ag 0.000 0.000 0.000 (multiplicity 4)
3 Au 0.000 0.000 0.500 (multiplicity 4)

- ΔE_f (meV per atom) = -525